# 1
VASP calculation (PBE) on a relaxed structure of ReAs2SBr.

Output
**Space-group type**: No. 123
**Total magnetization**: 0.00 μB/f.u.
**Energy relative to the lowest polymorph listed for this composition**: 0.00 eV/f.u.

Cell: 4.8263 4.8263 4.9703 Å, 90.00 90.00 90.00°
Last column: nearest neighbours and their distance in Å.
Atoms (fractional coordinates):
Re (0.0000, 0.0000, 0.0000)  4 As 2.41, 2 Br 2.49
As (0.0000, 0.5000, 0.0000)  2 Re 2.41
As (0.5000, 0.0000, 0.0000)  2 Re 2.41
S (0.5000, 0.5000, 0.5000)  4 Br 3.41, 8 As 3.46
Br (0.0000, 0.0000, 0.5000)  2 Re 2.49

***

# 2
VASP calculation (PBE) on a relaxed structure of ScReAsBr2.

Output
**Space-group type**: No. 123
**Total magnetization**: 0.47 μB/f.u.
**Energy relative to the lowest polymorph listed for this composition**: 0.00 eV/f.u.

Cell: 5.1908 5.1908 4.7520 Å, 90.00 90.00 90.00°
Last column: nearest neighbours and their distance in Å.
Atoms (fractional coordinates):
Sc (0.0000, 0.0000, 0.0000)  8 Br 3.52, 4 As 3.67
Re (0.5000, 0.5000, 0.5000)  2 As 2.38, 4 Br 2.60
As (0.5000, 0.5000, 0.0000)  2 Re 2.38
Br (0.0000, 0.5000, 0.5000)  2 Re 2.60
Br (0.5000, 0.0000, 0.5000)  2 Re 2.60

***

# 3
VASP calculation (PBE) on a relaxed structure of ScReAsBr2.

Output
**Space-group type**: No. 123
**Total magnetization**: 4.97 μB/f.u.
**Energy relative to the lowest polymorph listed for this composition**: 0.37 eV/f.u.

Cell: 5.0699 5.0699 5.5822 Å, 90.00 90.00 90.00°
Last column: nearest neighbours and their distance in Å.
Atoms (fractional coordinates):
Sc (0.0000, 0.0000, 0.0000)  4 Br 2.53, 2 As 2.79
Re (0.5000, 0.5000, 0.5000)  4 As 3.58, 8 Br 3.77
As (0.0000, 0.0000, 0.5000)  2 Sc 2.79
Br (0.0000, 0.5000, 0.0000)  2 Sc 2.53
Br (0.5000, 0.0000, 0.0000)  2 Sc 2.53

***

Number 1: energy -4.7558 eV/atom. Number 2: energy -4.8643 eV/atom. Number 3: energy -4.7906 eV/atom.